Density functional theory data (PBE) for a geometry-optimized AcPa2Sn structure.

ρ: 11.784 Mg/m³
Energy: -26.8 eV per cell
Offset from the most stable computed form: 0.0 kJ per mole of atoms
Volume: 28.5 A^3/atom
Crystal system: tetragonal
ΔH_f (0 K): 0.066 eV per atom

a b c (Å): 4.7535 4.7535 5.0377
angles (deg): 90.00 90.00 90.00
Space group P4/mmm (No. 123)
One atom of each set of equivalent atoms:
Ac1 0.0000 0.0000 0.0000 x1
Pa1 0.0000 0.5000 0.5000 x2
Sn1 0.5000 0.5000 0.0000 x1



Density functional theory data (PBE) for a geometry-optimized Ac3LaTl4 structure.

ρ: 9.892 Mg/m³
Energy: -29.7 eV per cell
Offset from the most stable computed form: 0.0 kJ per mole of atoms
Volume: 34.4 A^3/atom
Crystal system: tetragonal
ΔH_f (0 K): -0.367 eV per atom

a b c (Å): 4.0932 4.0932 16.4062
angles (deg): 90.00 90.00 90.00
Space group P4/mmm (No. 123)
One atom of each set of equivalent atoms:
Ac1 0.0000 0.0000 0.0000 x1
Ac2 0.0000 0.0000 0.2557 x2
La1 0.0000 0.0000 0.5000 x1
Tl1 0.5000 0.5000 0.1288 x2
Tl2 0.5000 0.5000 0.3847 x2



Density functional theory data (PBE) for a geometry-optimized Ho2SiGePd6 structure.

ρ: 9.778 Mg/m³
Energy: -57.7 eV per cell
Volume: 18.2 A^3/atom
Raw formation energy: -0.74 eV per atom
Crystal system: triclinic

a b c (Å): 5.4518 6.3366 6.4255
angles (deg): 83.03 65.03 64.76
Space group P-1 (No. 2)
One atom of each set of equivalent atoms:
Ho1 0.2468 0.2516 0.2540 x2
Si1 0.0000 0.0000 0.0000 x1
Ge1 0.5000 0.5000 0.5000 x1
Pd1 0.1938 0.8120 0.2984 x2
Pd2 0.2471 0.5878 0.9179 x2
Pd3 0.3047 0.1867 0.7016 x2



Density functional theory data (PBE) for a geometry-optimized KYSe structure.

ρ: 3.386 Mg/m³
Energy: -27.4 eV per cell
Offset from the most stable computed form: 20.9 kJ per mole of atoms
Volume: 33.8 A^3/atom
Raw formation energy: -0.89 eV per atom
Crystal system: tetragonal

a b c (Å): 3.7237 3.7237 14.6396
angles (deg): 90.00 90.00 90.00
Space group I4mm (No. 107)
One atom of each set of equivalent atoms:
K1 0.0000 0.0000 0.0000 x2
Y1 0.0000 0.0000 0.7385 x2
Se1 0.0000 0.0000 0.3244 x2



Density functional theory data (PBE) for a geometry-optimized DyHo2PaSe4 structure.

ρ: 9.106 Mg/m³
Energy: -49.9 eV per cell
Volume: 23.7 A^3/atom
Raw formation energy: -1.58 eV per atom
Crystal system: monoclinic

a b c (Å): 7.0538 4.0131 7.0722
angles (deg): 90.00 108.80 90.00
Space group P2/m (No. 10)
One atom of each set of equivalent atoms:
Dy1 0.0000 0.0000 0.0000 x1
Ho1 0.0000 0.5000 0.5000 x1
Ho2 0.5000 0.0000 0.5000 x1
Pa1 0.5000 0.5000 0.0000 x1
Se1 0.2463 0.0000 0.7451 x2
Se2 0.2495 0.5000 0.2530 x2



Density functional theory data (PBE) for a geometry-optimized NaB2Au structure.

ρ: 8.318 Mg/m³
Energy: -53.3 eV per cell
Offset from the most stable computed form: 58.5 kJ per mole of atoms
Volume: 12.1 A^3/atom
Crystal system: cubic
ΔH_f (0 K): 1.158 eV per atom

a b c (Å): 5.7781 5.7781 5.7781
angles (deg): 90.00 90.00 90.00
Space group Fm-3m (No. 225)
One atom of each set of equivalent atoms:
Na1 0.0000 0.0000 0.0000 x4
B1 0.2500 0.2500 0.2500 x8
Au1 0.0000 0.0000 0.5000 x4